Density functional theory data (PBE) for crystalline TiCdAg at its relaxed geometry.

It has space group P3m1 (No. 156), with a = 2.9432 Å, b = 2.9432 Å, c = 7.4286 Å, α = 90.00°, β = 90.00° and γ = 120.00°. The asymmetric unit holds Ti at (0.0000, 0.0000, 0.0000), Cd at (0.3333, 0.6667, 0.6601) and Ag at (0.6667, 0.3333, 0.3189).

The total energy is -11.367 eV/cell. As for the volume: 55.7 Å³ per cell. The formation energy from the elements comes out at 2.3 kcal/mol of atoms. The value obtained for the energy above the most stable polymorph in this dataset is 42 kJ/mol of formula units. The density of states at the Fermi level comes out at 3.41 states/eV/cell. As for the total moment: 0.00 μB/atom.

=====

Density functional theory data (PBE) for crystalline ZrGeI6 at its relaxed geometry.

It has space group C2/m (No. 12), with a = 7.279 Å, b = 13.986 Å, c = 7.279 Å, α = 90.00°, β = 108.63° and γ = 90.00°. The asymmetric unit holds Zr at (0.000, 0.000, 0.000), Ge at (0.000, 0.500, 0.500), I at (0.242, 0.000, 0.758) and I at (0.243, 0.145, 0.243).

The total energy is -55.152 eV/cell. As for the volume: 702.2 Å³ per cell. The uncorrected formation energy comes out at -0.6387 eV/atom. As for the total moment: 0.00 μB/atom.

=====

What is the total moment in the first record?
0.00 μB/atom

=====

Look up the total moment of the second one.
0.00 μB/atom

=====

Which value of total moment does entry 1 give?
0.00 μB/atom